[1]
Density functional theory data (meta-GGA SCAN) for a crystal of TlInHg relaxed with PBEsol.

Cell lengths 3.5685, 5.3708, 16.0500 Å; angles 90.00, 90.00, 90.00 degrees
Last column: nearest neighbours and their distance in Å.
Space group Fmm2 (No. 42)
One atom of each set of equivalent atoms:
Tl 0.0000 0.0000 0.0000 (multiplicity 4)  2 Hg 3.21, 6 Tl 3.22-3.57, 2 In 3.34
In 0.0000 0.0000 0.3241 (multiplicity 4)  2 Hg 3.10, 4 In 3.22, 2 Tl 3.34
Hg 0.0000 0.0000 0.6661 (multiplicity 4)  2 In 3.10, 2 Tl 3.21, 4 Hg 3.22


[2]
Density functional theory data (meta-GGA SCAN) for a crystal of TlInHg2 relaxed with PBEsol.

Cell lengths 3.3492, 3.3492, 30.9594 Å; angles 90.00, 90.00, 120.00 degrees
Last column: nearest neighbours and their distance in Å.
Space group R3m (No. 160, hexagonal axes)
One atom of each set of equivalent atoms:
Tl 0.0000 0.0000 0.0000 (multiplicity 3)  3 Hg 3.27, 6 Tl 3.35, 3 In 3.41
In 0.0000 0.0000 0.2426 (multiplicity 3)  3 Hg 3.15, 6 In 3.35, 3 Tl 3.41
Hg 0.0000 0.0000 0.4958 (multiplicity 3)  9 Hg 3.08-3.35, 3 In 3.15
Hg 0.0000 0.0000 0.7517 (multiplicity 3)  9 Hg 3.08-3.35, 3 Tl 3.27


[3]
Density functional theory data (meta-GGA SCAN) for a crystal of Tl2InHg relaxed with PBEsol.

Cell lengths 4.5470, 4.5470, 10.0758 Å; angles 90.00, 90.00, 90.00 degrees
Last column: nearest neighbours and their distance in Å.
Space group I4/mmm (No. 139)
One atom of each set of equivalent atoms:
Tl 0.0000 0.5000 0.2500 (multiplicity 4)  4 Tl 3.22, 4 In 3.39, 4 Hg 3.39
In 0.0000 0.0000 0.0000 (multiplicity 2)  4 Hg 3.22, 8 Tl 3.39
Hg 0.0000 0.0000 0.5000 (multiplicity 2)  4 In 3.22, 8 Tl 3.39


[4]
Density functional theory data (meta-GGA SCAN) for a crystal of TlIn2Hg2 relaxed with PBEsol.

Cell lengths 8.6186, 8.6186, 3.4481 Å; angles 90.00, 90.00, 90.00 degrees
Last column: nearest neighbours and their distance in Å.
Space group P4/mbm (No. 127)
One atom of each set of equivalent atoms:
Tl 0.0000 0.0000 0.0000 (multiplicity 2)  4 Hg 3.28, 2 Tl 3.45
In 0.1465 0.3535 0.5000 (multiplicity 4)  6 Hg 3.01-3.09
Hg 0.1514 0.6514 0.0000 (multiplicity 4)  6 In 3.01-3.09, 2 Tl 3.28


[5]
Density functional theory data (meta-GGA SCAN) for a crystal of TlInHg2 relaxed with PBEsol.

Cell lengths 4.5480, 4.5480, 9.6353 Å; angles 90.00, 90.00, 90.00 degrees
Last column: nearest neighbours and their distance in Å.
Space group I-4m2 (No. 119)
One atom of each set of equivalent atoms:
Tl 0.0000 0.0000 0.0000 (multiplicity 2)  8 Hg 3.22-3.31, 4 In 3.31
In 0.0000 0.5000 0.7500 (multiplicity 2)  8 Hg 3.22-3.31, 4 Tl 3.31
Hg 0.0000 0.0000 0.5000 (multiplicity 2)  4 Tl 3.22, 4 Hg 3.31, 4 In 3.31
Hg 0.0000 0.5000 0.2500 (multiplicity 2)  4 In 3.22, 4 Hg 3.31, 4 Tl 3.31


[6]
Density functional theory data (meta-GGA SCAN) for a crystal of TlInHg2 relaxed with PBEsol.

Cell lengths 3.4019, 4.4989, 6.5331 Å; angles 90.00, 93.02, 90.00 degrees
Last column: nearest neighbours and their distance in Å.
Space group P2/m (No. 10)
One atom of each set of equivalent atoms:
Tl 0.0000 0.0000 0.0000 (multiplicity 1)  8 Hg 3.25-3.32, 2 In 3.27, 2 Tl 3.40
In 0.0000 0.0000 0.5000 (multiplicity 1)  8 Hg 3.18-3.29, 2 Tl 3.27, 2 In 3.40
Hg 0.4937 0.5000 0.7429 (multiplicity 2)  4 Hg 3.18-3.40, 4 In 3.18-3.29, 4 Tl 3.25-3.32


[7]
Density functional theory data (meta-GGA SCAN) for a crystal of TlInHg relaxed with PBEsol.

Cell lengths 3.5285, 3.5285, 12.3003 Å; angles 90.00, 90.00, 90.00 degrees
Last column: nearest neighbours and their distance in Å.
Space group I4mm (No. 107)
One atom of each set of equivalent atoms:
Tl 0.0000 0.0000 0.0000 (multiplicity 2)  4 Hg 3.25, 4 In 3.34, 4 Tl 3.53
In 0.0000 0.0000 0.3191 (multiplicity 2)  4 Hg 3.11, 4 Tl 3.34
Hg 0.0000 0.0000 0.6687 (multiplicity 2)  4 In 3.11, 4 Tl 3.25


[8]
Density functional theory data (meta-GGA SCAN) for a crystal of TlInHg4 relaxed with PBEsol.

Cell lengths 8.4737, 8.4737, 8.4737 Å; angles 90.00, 90.00, 90.00 degrees
Last column: nearest neighbours and their distance in Å.
Space group F-43m (No. 216)
One atom of each set of equivalent atoms:
Tl 0.0000 0.0000 0.0000 (multiplicity 4)  12 Hg 3.51, 4 In 3.67
In 0.2500 0.2500 0.2500 (multiplicity 4)  12 Hg 3.51, 4 Tl 3.67
Hg 0.1250 0.1250 0.6250 (multiplicity 16)  6 Hg 3.00


[9]
Density functional theory data (meta-GGA SCAN) for a crystal of TlIn4Hg relaxed with PBEsol.

Cell lengths 8.6345, 8.6345, 8.6345 Å; angles 90.00, 90.00, 90.00 degrees
Last column: nearest neighbours and their distance in Å.
Space group F-43m (No. 216)
One atom of each set of equivalent atoms:
Tl 0.0000 0.0000 0.0000 (multiplicity 4)  12 In 3.58, 4 Hg 3.74
In 0.1249 0.1249 0.6249 (multiplicity 16)  6 In 3.05-3.06
Hg 0.2500 0.2500 0.2500 (multiplicity 4)  12 In 3.58, 4 Tl 3.74


[10]
Density functional theory data (meta-GGA SCAN) for a crystal of TlInHg2 relaxed with PBEsol.

Cell lengths 3.3712, 4.5403, 6.5217 Å; angles 90.00, 90.00, 90.00 degrees
Last column: nearest neighbours and their distance in Å.
Space group Pmm2 (No. 25)
One atom of each set of equivalent atoms:
Tl 0.0000 0.0000 0.0000 (multiplicity 1)  6 Hg 3.22-3.30, 4 In 3.37, 2 Tl 3.37
In 0.5000 0.5000 0.7198 (multiplicity 1)  6 Hg 3.10-3.42, 4 Tl 3.37, 2 In 3.37
Hg 0.0000 0.0000 0.4937 (multiplicity 1)  4 In 3.19, 2 Tl 3.22-3.30, 6 Hg 3.26-3.37
Hg 0.5000 0.5000 0.2441 (multiplicity 1)  2 In 3.10-3.42, 4 Tl 3.24, 6 Hg 3.26-3.37


[11]
Density functional theory data (meta-GGA SCAN) for a crystal of TlInHg2 relaxed with PBEsol.

Cell lengths 3.5999, 5.3126, 10.5028 Å; angles 90.00, 90.00, 90.00 degrees
Last column: nearest neighbours and their distance in Å.
Space group Imm2 (No. 44)
One atom of each set of equivalent atoms:
Tl 0.0000 0.0000 0.0000 (multiplicity 2)  6 Hg 3.21-3.25, 2 In 3.31
In 0.0000 0.5000 0.2353 (multiplicity 2)  6 Hg 3.09-3.22, 2 Tl 3.31
Hg 0.0000 0.0000 0.4957 (multiplicity 2)  2 Hg 3.08, 2 In 3.09, 4 Tl 3.21
Hg 0.0000 0.5000 0.7582 (multiplicity 2)  2 Hg 3.08, 4 In 3.22, 2 Tl 3.25


[12]
Density functional theory data (meta-GGA SCAN) for a crystal of Tl2InHg relaxed with PBEsol.

Cell lengths 3.3989, 3.3989, 31.3364 Å; angles 90.00, 90.00, 120.00 degrees
Last column: nearest neighbours and their distance in Å.
Space group R3m (No. 160, hexagonal axes)
One atom of each set of equivalent atoms:
Tl 0.0000 0.0000 0.0000 (multiplicity 3)  3 Hg 3.23, 9 Tl 3.40-3.42
Tl 0.0000 0.0000 0.2439 (multiplicity 3)  3 In 3.32, 9 Tl 3.40-3.42
In 0.0000 0.0000 0.4919 (multiplicity 3)  3 Hg 3.11, 3 Tl 3.32, 6 In 3.40
Hg 0.0000 0.0000 0.7484 (multiplicity 3)  3 In 3.11, 3 Tl 3.23, 6 Hg 3.40


[13]
Density functional theory data (meta-GGA SCAN) for a crystal of TlInHg2 relaxed with PBEsol.

Cell lengths 5.0004, 5.0004, 8.0302 Å; angles 90.00, 90.00, 90.00 degrees
Last column: nearest neighbours and their distance in Å.
Space group I4/mmm (No. 139)
One atom of each set of equivalent atoms:
Tl 0.0000 0.0000 0.0000 (multiplicity 2)  8 Hg 3.21, 4 In 3.54
In 0.0000 0.0000 0.5000 (multiplicity 2)  8 Hg 3.21, 4 Tl 3.54
Hg 0.0000 0.5000 0.2500 (multiplicity 4)  4 In 3.21, 4 Tl 3.21, 4 Hg 3.54


[14]
Density functional theory data (meta-GGA SCAN) for a crystal of Tl2InHg relaxed with PBEsol.

Cell lengths 6.5615, 10.3389, 3.2862 Å; angles 90.00, 108.64, 90.00 degrees
Last column: nearest neighbours and their distance in Å.
Space group C2/m (No. 12)
One atom of each set of equivalent atoms:
Tl 0.2500 0.2500 0.0000 (multiplicity 4)  2 Hg 3.22, 2 In 3.22, 4 Tl 3.28-3.29
In 0.0000 0.0000 0.5000 (multiplicity 2)  4 Tl 3.22, 2 Hg 3.28, 2 In 3.29
Hg 0.0000 0.5000 0.5000 (multiplicity 2)  4 Tl 3.22, 2 In 3.28, 2 Hg 3.29


[15]
Density functional theory data (meta-GGA SCAN) for a crystal of TlInHg2 relaxed with PBEsol.

Cell lengths 3.4772, 3.4772, 28.9368 Å; angles 90.00, 90.00, 120.00 degrees
Last column: nearest neighbours and their distance in Å.
Space group R-3m (No. 166, hexagonal axes)
One atom of each set of equivalent atoms:
Tl 0.0000 0.0000 0.0000 (multiplicity 3)  6 Hg 3.20, 6 Tl 3.48
In 0.0000 0.0000 0.5000 (multiplicity 3)  6 Hg 3.08
Hg 0.0000 0.0000 0.2472 (multiplicity 6)  3 In 3.08, 3 Tl 3.20


[16]
Density functional theory data (meta-GGA SCAN) for a crystal of Tl2InHg relaxed with PBEsol.

Cell lengths 5.8520, 3.2713, 11.1137 Å; angles 90.00, 99.40, 90.00 degrees
Last column: nearest neighbours and their distance in Å.
Space group C2/m (No. 12)
One atom of each set of equivalent atoms:
Tl 0.2480 0.0000 0.2449 (multiplicity 4)  6 Tl 3.27-3.35, 3 Hg 3.30, 3 In 3.39
In 0.0000 0.0000 0.5000 (multiplicity 2)  6 In 3.27-3.35, 6 Tl 3.39
Hg 0.0000 0.5000 0.0000 (multiplicity 2)  6 Hg 3.27-3.35, 6 Tl 3.30


[17]
Density functional theory data (meta-GGA SCAN) for a crystal of TlInHg2 relaxed with PBEsol.

Cell lengths 3.1360, 5.2635, 6.1469 Å; angles 90.00, 90.22, 90.00 degrees
Last column: nearest neighbours and their distance in Å.
Space group Pm (No. 6)
One atom of each set of equivalent atoms:
Tl 0.0000 0.0000 0.0000 (multiplicity 1)  2 Tl 3.14, 8 Hg 3.39-3.46, 4 In 3.44-3.46
In 0.4924 0.5000 0.7415 (multiplicity 1)  4 Hg 3.03-3.09, 2 In 3.14
Hg 0.4981 0.0000 0.4984 (multiplicity 1)  2 In 3.03, 4 Hg 3.08-3.14
Hg 0.5045 0.5000 0.2395 (multiplicity 1)  2 In 3.06-3.09, 4 Hg 3.08-3.14, 4 Tl 3.39-3.40


[18]
Density functional theory data (meta-GGA SCAN) for a crystal of Tm2InHg relaxed with PBEsol.

Cell lengths 7.2684, 7.2684, 7.2684 Å; angles 90.00, 90.00, 90.00 degrees
Last column: nearest neighbours and their distance in Å.
Space group Fm-3m (No. 225)
One atom of each set of equivalent atoms:
Tm 0.2500 0.2500 0.2500 (multiplicity 8)  4 Hg 3.15, 4 In 3.15
In 0.0000 0.0000 0.0000 (multiplicity 4)  8 Tm 3.15
Hg 0.0000 0.0000 0.5000 (multiplicity 4)  8 Tm 3.15


[19]
Density functional theory data (meta-GGA SCAN) for a crystal of In2HgW2 relaxed with PBEsol.

Cell lengths 3.8828, 3.8828, 13.4068 Å; angles 90.00, 90.00, 90.00 degrees
Last column: nearest neighbours and their distance in Å.
Space group I4/mmm (No. 139)
One atom of each set of equivalent atoms:
In 0.0000 0.5000 0.2500 (multiplicity 4)  4 In 2.75, 4 W 2.90
Hg 0.0000 0.0000 0.0000 (multiplicity 2)  8 W 2.99
W 0.0000 0.0000 0.4110 (multiplicity 4)  1 W 2.39


[20]
Density functional theory data (meta-GGA SCAN) for a crystal of YIn2Hg relaxed with PBEsol.

Cell lengths 3.6540, 3.8623, 6.8541 Å; angles 90.00, 90.00, 90.00 degrees
Last column: nearest neighbours and their distance in Å.
Space group Pmm2 (No. 25)
One atom of each set of equivalent atoms:
Y 0.0000 0.0000 0.0000 (multiplicity 1)  4 Hg 3.16, 6 In 3.23-3.51
In 0.0000 0.0000 0.4883 (multiplicity 1)  4 Hg 3.12, 4 In 3.14, 1 Y 3.35
In 0.5000 0.5000 0.7311 (multiplicity 1)  4 In 3.14, 4 Y 3.23, 1 Hg 3.30
Hg 0.5000 0.5000 0.2503 (multiplicity 1)  5 In 3.12-3.30, 4 Y 3.16


Calculated total energy / eV/atom: -57.92; -60.49; -61.51; -55.07; -60.48; -60.49; -57.94; -62.99; -45.58; -60.48; -60.49; -61.53; -60.50; -61.53; -60.51; -61.52; -60.51; -51.93; -53.77; -41.06
Energy of formation from the pure elements / eV/atom: 0.046; 0.030; 0.053; 0.020; 0.035; 0.027; 0.034; 0.074; 0.102; 0.035; 0.025; 0.034; 0.020; 0.036; 0.011; 0.045; 0.013; -0.627; 1.093; -0.363
Mass density / Mg/m³: 11.2; 11.9; 11.5; 10.8; 12.0; 12.0; 11.3; 12.2; 8.9; 12.0; 11.9; 11.5; 11.9; 11.4; 11.8; 11.5; 11.8; 11.3; 13.1; 8.9